{
  "formula": "Tl2SbIr",
  "functional": "PBE",
  "state": "relaxed",
  "lattice_angstrom": [[3.3667, 0.0000, 0.0000], [0.0000, 3.3667, 0.0000], [0.0000, 0.0000, 8.8339]],
  "species": ["Tl", "Tl", "Sb", "Ir"],
  "frac_coords": [[0.0000, 0.0000, 0.0000], [0.5000, 0.5000, 0.3044], [0.5000, 0.5000, 0.6868], [0.0000, 0.0000, 0.5379]],
  "volume_a3_per_atom": 25.033,
  "sg": "P4mm, No. 99",
  "raw_formation_energy_ev_per_fu": 0.487,
  "polymorph_energy_ev_per_atom": 0.038,
  "e_tot_ev_per_atom": -4.31,
  "m_tot_mub_per_fu": 0.00
}